1.
The following is a PBE calculation of a geometry-optimized BeAlCu2 structure, from Alexandria.

Unit cell a=6.605 b=6.605 c=5.238 alpha=50.92 beta=50.92 gamma=90.00
Fractional coordinates of all 8 atoms:
Be 0.500 0.500 0.000
Be 0.250 0.750 0.500
Al 0.000 0.000 0.000
Al 0.750 0.250 0.500
Cu 0.571 0.125 0.250
Cu 0.179 0.625 0.250
Cu 0.375 0.429 0.750
Cu 0.875 0.821 0.750

Output
**Energy relative to the elements**: 248 meV/atom
**Spin magnetization**: 0.00 μB/f.u.


2.
The following is a PBE calculation of a geometry-optimized BeAlCu structure, from Alexandria.

Unit cell a=4.839 b=4.839 c=4.839 alpha=146.06 beta=146.06 gamma=48.76
Fractional coordinates of all 3 atoms:
Be 0.319 0.319 0.000
Al 0.996 0.996 0.000
Cu 0.685 0.685 0.000

Output
**Relative energy among the computed polymorphs**: 123 meV/atom
**Energy relative to the elements**: 2 meV/atom
**Spin magnetization**: 0.00 μB/f.u.


3.
The following is a PBE calculation of a geometry-optimized BeAl2Cu5 structure, from Alexandria.

Unit cell a=3.910 b=5.071 c=9.739 alpha=90.00 beta=90.00 gamma=90.00
Fractional coordinates of all 16 atoms:
Be 0.000 0.000 0.500
Be 0.000 0.500 0.000
Al 0.500 0.333 0.365
Al 0.500 0.667 0.635
Al 0.500 0.167 0.865
Al 0.500 0.833 0.135
Cu 0.500 0.337 0.107
Cu 0.500 0.663 0.893
Cu 0.500 0.837 0.393
Cu 0.500 0.163 0.607
Cu 0.000 0.905 0.745
Cu 0.000 0.095 0.255
Cu 0.000 0.405 0.755
Cu 0.000 0.595 0.245
Cu 0.000 0.500 0.500
Cu 0.000 0.000 0.000

Output
**Energy relative to the elements**: -157 meV/atom
**Spin magnetization**: 0.00 μB/f.u.